Here is In2AsPt after structural relaxation from Alexandria via LeMat-Bulk. Energies are from PBE-GGA.

Values from the calculation:
Fermi-level density of states = 3.80 states/eV/f.u.
E_tot = -3.951 eV per atom
total moment = 0.000 μB/f.u.
crystal system = cubic

Cell lengths 4.888, 4.888, 4.888 Å; angles 60.00, 60.00, 60.00 degrees
Fractional coordinates of all 4 atoms:
1 As 0.500 0.500 0.500
2 In 0.250 0.250 0.250
3 Pt 0.750 0.750 0.750
4 In 0.000 0.000 0.000

=====

Here is La4Th3Co2 after structural relaxation from Alexandria via LeMat-Bulk. Energies are from PBE-GGA.

Values from the calculation:
Fermi-level density of states = 10.97 states/eV/f.u.
E_tot = -6.388 eV per atom
total moment = 0.000 μB/f.u.
crystal system = monoclinic

Cell lengths 3.739, 9.039, 9.030 Å; angles 115.52, 101.95, 90.00 degrees
Fractional coordinates of all 9 atoms:
1 Co 0.583 0.409 0.167
2 La 0.618 0.882 0.236
3 Th 0.918 0.800 0.835
4 Th 0.082 0.200 0.165
5 La 0.775 0.358 0.549
6 La 0.225 0.642 0.451
7 Co 0.417 0.591 0.833
8 Th 0.000 0.500 0.000
9 La 0.382 0.118 0.764

=====

Here is Tb4UC4 after structural relaxation from Alexandria via LeMat-Bulk. Energies are from PBE-GGA.

Values from the calculation:
Fermi-level density of states = 4.63 states/eV/f.u.
E_tot = -7.662 eV per atom
total moment = 0.624 μB/f.u.
crystal system = monoclinic

Cell lengths 3.617, 6.235, 8.044 Å; angles 75.29, 77.01, 73.14 degrees
Each line ends with the local moment (μB).
Fractional coordinates of all 9 atoms:
1 Tb 0.892 0.826 0.391  0.09
2 C 0.310 0.095 0.285  0.00
3 Tb 0.108 0.174 0.609  0.09
4 Tb 0.296 0.600 0.807  0.06
5 C 0.690 0.905 0.715  0.00
6 C 0.912 0.261 0.915  0.00
7 Tb 0.704 0.400 0.193  0.06
8 C 0.088 0.739 0.085  0.00
9 U 0.500 0.000 0.000  0.05

=====

Here is BaMgCd4Ag2 after structural relaxation from Alexandria via LeMat-Bulk. Energies are from PBE-GGA.

Values from the calculation:
Fermi-level density of states = 4.65 states/eV/f.u.
E_tot = -1.749 eV per atom
total moment = 0.000 μB/f.u.
crystal system = trigonal

Cell lengths 4.825, 4.825, 10.567 Å; angles 76.80, 76.80, 60.00 degrees
Fractional coordinates of all 8 atoms:
1 Mg 0.500 0.500 0.500
2 Cd 0.871 0.871 0.386
3 Cd 0.595 0.595 0.214
4 Ag 0.230 0.230 0.309
5 Cd 0.405 0.405 0.786
6 Cd 0.129 0.129 0.614
7 Ba 0.000 0.000 0.000
8 Ag 0.770 0.770 0.691

=====

Here is FeIr2Pd after structural relaxation from Alexandria via LeMat-Bulk. Energies are from PBE-GGA.

Values from the calculation:
Fermi-level density of states = 4.66 states/eV/f.u.
E_tot = -7.854 eV per atom
total moment = 2.334 μB/f.u.
crystal system = trigonal

Cell lengths 2.724, 2.724, 8.885 Å; angles 81.18, 81.18, 60.00 degrees
Each line ends with the local moment (μB).
Fractional coordinates of all 4 atoms:
1 Fe 0.000 0.000 0.000  2.37
2 Ir 0.745 0.745 0.766  0.01
3 Pd 0.500 0.500 0.500  -0.09
4 Ir 0.255 0.255 0.234  0.01

=====

Here is Ca3SiTe after structural relaxation from Alexandria via LeMat-Bulk. Energies are from PBE-GGA.

Values from the calculation:
Fermi-level density of states = 0.01 states/eV/f.u.
ΔE_f (raw) = -0.660 eV/atom
total moment = 0.000 μB/f.u.
crystal system = cubic

Cell lengths 5.574, 5.574, 5.574 Å; angles 90.00, 90.00, 90.00 degrees
Fractional coordinates of all 5 atoms:
1 Te 0.500 0.500 0.500
2 Ca 0.500 0.000 0.000
3 Si 0.000 0.000 0.000
4 Ca 0.000 0.500 0.000
5 Ca 0.000 0.000 0.500

=====

Here is Y2PbS after structural relaxation from Alexandria via LeMat-Bulk. Energies are from PBE-GGA.

Values from the calculation:
Fermi-level density of states = 1.75 states/eV/f.u.
ΔE_f (raw) = -1.241 eV/atom
total moment = 0.000 μB/f.u.
crystal system = trigonal

Cell lengths 3.811, 3.811, 8.437 Å; angles 76.95, 76.95, 60.00 degrees
Fractional coordinates of all 4 atoms:
1 Y 0.268 0.268 0.195
2 Y 0.065 0.065 0.804
3 S 0.667 0.667 0.998
4 Pb 0.499 0.499 0.502

=====

Here is Ti3NbGa after structural relaxation from Alexandria via LeMat-Bulk. Energies are from PBE-GGA.

Values from the calculation:
Fermi-level density of states = 7.65 states/eV/f.u.
E_tot = -6.570 eV per atom
total moment = 1.985 μB/f.u.
crystal system = cubic

Cell lengths 4.666, 4.666, 4.666 Å; angles 90.00, 90.00, 90.00 degrees
Each line ends with the local moment (μB).
Fractional coordinates of all 5 atoms:
1 Ga 0.000 0.000 0.000  0.06
2 Nb 0.500 0.500 0.500  0.28
3 Ti 0.000 0.500 0.000  0.37
4 Ti 0.000 0.000 0.500  0.38
5 Ti 0.500 0.000 0.000  0.29

=====

Here is BaScCo after structural relaxation from Alexandria via LeMat-Bulk. Energies are from PBE-GGA.

Values from the calculation:
Fermi-level density of states = 3.94 states/eV/f.u.
E_tot = -3.832 eV per atom
total moment = 0.000 μB/f.u.
crystal system = cubic

Cell lengths 4.724, 4.724, 4.724 Å; angles 60.00, 60.00, 60.00 degrees
Fractional coordinates of all 3 atoms:
1 Ba 0.750 0.750 0.750
2 Co 0.000 0.000 0.000
3 Sc 0.500 0.500 0.500

=====

Here is TlSiHg2 after structural relaxation from Alexandria via LeMat-Bulk. Energies are from PBE-GGA.

Values from the calculation:
Fermi-level density of states = 1.59 states/eV/f.u.
ΔE_f (raw) = 0.336 eV/atom
total moment = 0.000 μB/f.u.
crystal system = monoclinic

Cell lengths 4.531, 3.428, 6.575 Å; angles 75.68, 90.00, 90.00 degrees
Fractional coordinates of all 4 atoms:
1 Tl 0.500 0.704 0.730
2 Hg 0.500 0.424 0.257
3 Si 0.000 0.313 0.497
4 Hg 0.000 0.059 0.017

=====

Here is MgInSi2Cl after structural relaxation from Alexandria via LeMat-Bulk. Energies are from PBE-GGA.

Values from the calculation:
Fermi-level density of states = 8.37 states/eV/f.u.
ΔE_f (raw) = 1.494 eV/atom
total moment = 1.005 μB/f.u.
crystal system = tetragonal

Cell lengths 6.320, 6.320, 6.743 Å; angles 90.00, 90.00, 90.00 degrees
Each line ends with the local moment (μB).
Fractional coordinates of all 5 atoms:
1 Si 0.500 0.000 0.000  0.15
2 Si 0.000 0.500 0.000  0.15
3 In 0.000 0.000 0.500  -0.01
4 Cl 0.000 0.000 0.000  0.00
5 Mg 0.500 0.500 0.500  0.00

=====

Here is Sm2Tm2Th5 after structural relaxation from Alexandria via LeMat-Bulk. Energies are from PBE-GGA.

Values from the calculation:
Fermi-level density of states = 14.32 states/eV/f.u.
E_tot = -6.107 eV per atom
total moment = 0.000 μB/f.u.
crystal system = monoclinic

Cell lengths 5.011, 6.192, 10.736 Å; angles 73.44, 76.50, 66.13 degrees
Fractional coordinates of all 9 atoms:
1 Th 0.000 0.000 0.000
2 Tm 0.332 0.443 0.892
3 Th 0.998 0.331 0.672
4 Th 0.002 0.669 0.328
5 Th 0.663 0.893 0.780
6 Sm 0.666 0.226 0.442
7 Sm 0.334 0.774 0.558
8 Th 0.337 0.107 0.220
9 Tm 0.668 0.557 0.108

=====

Here is Cd6OF8 after structural relaxation from Alexandria via LeMat-Bulk. Energies are from PBE-GGA.

Values from the calculation:
Fermi-level density of states = 0.03 states/eV/f.u.
ΔE_f (raw) = -1.820 eV/atom
total moment = 0.000 μB/f.u.
crystal system = trigonal

Cell lengths 6.575, 6.575, 7.051 Å; angles 62.21, 62.21, 60.00 degrees
Fractional coordinates of all 15 atoms:
1 F 0.913 0.484 0.362
2 Cd 0.766 0.364 0.770
3 F 0.759 0.087 0.638
4 F 0.241 0.913 0.362
5 F 0.087 0.516 0.638
6 Cd 0.900 0.234 0.230
7 F 0.352 0.352 0.944
8 Cd 0.364 0.100 0.770
9 F 0.648 0.648 0.056
10 Cd 0.234 0.636 0.230
11 Cd 0.100 0.766 0.770
12 O 0.000 0.000 0.000
13 F 0.516 0.759 0.638
14 F 0.484 0.241 0.362
15 Cd 0.636 0.900 0.230

=====

Here is PmNd2Dy3 after structural relaxation from Alexandria via LeMat-Bulk. Energies are from PBE-GGA.

Values from the calculation:
Fermi-level density of states = 9.55 states/eV/f.u.
E_tot = -4.583 eV per atom
total moment = 0.000 μB/f.u.
crystal system = monoclinic

Cell lengths 5.610, 8.984, 10.171 Å; angles 122.50, 90.00, 108.19 degrees
Fractional coordinates of all 12 atoms:
1 Nd 0.514 0.028 0.863
2 Dy 0.388 0.776 0.345
3 Dy 0.950 0.899 0.602
4 Nd 0.774 0.547 0.130
5 Dy 0.295 0.590 0.578
6 Pm 0.866 0.731 0.859
7 Pm 0.134 0.269 0.141
8 Nd 0.486 0.972 0.137
9 Dy 0.050 0.101 0.398
10 Nd 0.226 0.453 0.870
11 Dy 0.705 0.410 0.422
12 Dy 0.612 0.224 0.655

=====

Here is TlTe2Rh2 after structural relaxation from Alexandria via LeMat-Bulk. Energies are from PBE-GGA.

Values from the calculation:
Fermi-level density of states = 5.48 states/eV/f.u.
ΔE_f (raw) = -0.237 eV/atom
total moment = 0.000 μB/f.u.
crystal system = tetragonal

Cell lengths 4.220, 4.220, 7.516 Å; angles 73.70, 73.70, 90.00 degrees
Fractional coordinates of all 5 atoms:
1 Te 0.363 0.363 0.274
2 Rh 0.250 0.750 0.500
3 Tl 0.000 0.000 0.000
4 Te 0.637 0.637 0.726
5 Rh 0.750 0.250 0.500

=====

Here is BeCrCd2Rh after structural relaxation from Alexandria via LeMat-Bulk. Energies are from PBE-GGA.

Values from the calculation:
Fermi-level density of states = 4.39 states/eV/f.u.
E_tot = -3.813 eV per atom
total moment = 3.370 μB/f.u.
crystal system = tetragonal

Cell lengths 4.471, 4.256, 4.471 Å; angles 90.00, 90.00, 90.00 degrees
Each line ends with the local moment (μB).
Fractional coordinates of all 5 atoms:
1 Rh 0.500 0.500 0.500  0.07
2 Cr 0.000 0.500 0.000  3.11
3 Cd 0.000 0.000 0.500  -0.04
4 Cd 0.500 0.000 0.000  -0.02
5 Be 0.000 0.000 0.000  -0.07

=====

Here is LaCdRe2 after structural relaxation from Alexandria via LeMat-Bulk. Energies are from PBE-GGA.

Values from the calculation:
Fermi-level density of states = 3.11 states/eV/f.u.
E_tot = -7.200 eV per atom
total moment = 0.000 μB/f.u.
crystal system = monoclinic

Cell lengths 5.297, 5.297, 5.460 Å; angles 69.01, 69.01, 43.23 degrees
Fractional coordinates of all 4 atoms:
1 Re 0.013 0.013 0.867
2 Cd 0.750 0.750 0.750
3 Re 0.487 0.487 0.633
4 La 0.250 0.250 0.250

=====

Here is SmHo3Th2As6 after structural relaxation from Alexandria via LeMat-Bulk. Energies are from PBE-GGA.

Values from the calculation:
Fermi-level density of states = 3.96 states/eV/f.u.
E_tot = -6.593 eV per atom
total moment = 0.000 μB/f.u.
crystal system = monoclinic

Cell lengths 4.182, 8.325, 9.320 Å; angles 102.68, 102.97, 90.00 degrees
Fractional coordinates of all 12 atoms:
1 As 0.002 0.746 0.004
2 Ho 0.166 0.834 0.331
3 Ho 0.500 0.500 0.000
4 As 0.665 0.588 0.330
5 As 0.332 0.922 0.663
6 Th 0.835 0.669 0.670
7 As 0.998 0.254 0.996
8 As 0.668 0.078 0.337
9 As 0.335 0.412 0.670
10 Ho 0.834 0.166 0.669
11 Th 0.165 0.331 0.330
12 Sm 0.500 0.000 0.000

=====

Here is BaTa3Br after structural relaxation from Alexandria via LeMat-Bulk. Energies are from PBE-GGA.

Values from the calculation:
Fermi-level density of states = 5.29 states/eV/f.u.
ΔE_f (raw) = 3.101 eV/atom
total moment = 0.000 μB/f.u.
crystal system = cubic

Cell lengths 5.207, 5.207, 5.207 Å; angles 90.00, 90.00, 90.00 degrees
Fractional coordinates of all 5 atoms:
1 Ba 0.000 0.000 0.000
2 Ta 0.000 0.500 0.000
3 Br 0.500 0.500 0.500
4 Ta 0.500 0.000 0.000
5 Ta 0.000 0.000 0.500

=====

Here is AlInFe4 after structural relaxation from Alexandria via LeMat-Bulk. Energies are from PBE-GGA.

Values from the calculation:
Fermi-level density of states = 5.20 states/eV/f.u.
E_tot = -6.664 eV per atom
total moment = 8.574 μB/f.u.
crystal system = cubic

Cell lengths 4.890, 4.890, 4.890 Å; angles 60.00, 60.00, 60.00 degrees
Each line ends with the local moment (μB).
Fractional coordinates of all 6 atoms:
1 Al 0.000 0.000 0.000  -0.05
2 In 0.750 0.750 0.750  -0.10
3 Fe 0.374 0.374 0.877  2.21
4 Fe 0.374 0.374 0.374  2.21
5 Fe 0.877 0.374 0.374  2.21
6 Fe 0.374 0.877 0.374  2.21